Entry from Alexandria via LeMat-Bulk: an optimized crystal structure of ScMoSe2N (PBE-GGA).

a = 5.088 Å, b = 5.088 Å, c = 3.787 Å
α = 90.00°, β = 90.00°, γ = 90.00°
Atoms (fractional coordinates):
Sc 0.000 0.000 0.000
Mo 0.500 0.500 0.500
Se 0.000 0.500 0.500
Se 0.500 0.000 0.500
N 0.500 0.500 0.000

Results
Uncorrected formation energy, eV per atom: -0.31
Symmetry: No. 123
Calculated total energy, eV/atom: -6.797